VASP calculation (PBE-GGA) on SiSn2As after structural relaxation.

Lattice parameters (Å, degrees): 7.0973 7.0973 7.0973 90.00 90.00 90.00
Space group Fm-3m (No. 225)
Asymmetric unit:
Si1 0.0000 0.0000 0.0000 x4
Sn1 0.2500 0.2500 0.2500 x8
As1 0.0000 0.0000 0.5000 x4

ΔE_f (raw): 0.3432 eV/atom
polymorph energy (0 for the lowest one): 0.182 eV/atom